The following is a PBE with a Hubbard U calculation of FeSiAg2O after structural relaxation, from Alexandria via LeMat-Bulk.

Cell and atoms, written as POSCAR:
```
FeSiAg2O
1.0
-0.8731 4.6962 0.3612
-2.8108 -0.8143 3.7926
2.9143 0.3696 2.2392
Fe Si Ag O
1 1 2 1
Direct
0.0000 0.0000 0.5000 Fe
0.5000 0.5000 0.5000 Si
0.0000 0.5000 0.0000 Ag
0.5000 0.0000 0.0000 Ag
0.0000 0.0000 0.0000 O
```

* space-group type: P4/mmm (123)
* electronic total energy: -4.064 eV/atom
* spin magnetization: 4.097 μB per formula unit